Crystalline TmScMn at its relaxed geometry. Source: Alexandria via LeMat-Bulk, functional PBE-GGA.

a = 3.335 Å, b = 3.335 Å, c = 6.439 Å
α = 105.01°, β = 105.01°, γ = 90.00°
Site moments in Bohr magnetons follow the coordinates.
Sites, in units of the cell vectors:
Sc 0.302 0.302 0.603  -0.27
Mn 0.673 0.673 0.346  2.87
Tm 0.026 0.026 0.051  -0.24

Calculated values
As for the density: 6.70 g/cm3. The electronic total energy is -6.557 eV per atom. As for the density of states at the Fermi level: 4.780 states/eV per cell. The energy of formation comes out at 0.30 eV/f.u.

Crystalline ScSbSe2 at its relaxed geometry. Source: Alexandria via LeMat-Bulk, functional PBE-GGA.

a = 3.824 Å, b = 5.270 Å, c = 5.276 Å
α = 81.90°, β = 90.00°, γ = 90.00°
Sites, in units of the cell vectors:
Sc 0.500 0.750 0.750
Se 0.000 0.978 0.978
Se 0.000 0.522 0.522
Sb 0.500 0.250 0.250

Calculated values
As for the density: 5.12 g/cm3. The electronic total energy is -5.009 eV per atom. As for the density of states at the Fermi level: 0.183 states/eV per cell.

Size of the total moment values, unit μB/atom, following the record order: 0.77 0.00.